No. 1
TlHg2Se2 | PBE | relaxed

POSCAR file:
```
TlHg2Se2
1.0
-2.622 2.622 5.122
2.622 -2.622 5.122
2.622 2.622 -5.122
Tl Hg Se
1 2 2
Cartesian
0.000 0.000 0.000
0.000 0.000 3.735
0.000 0.000 6.509
2.622 0.000 2.561
0.000 2.622 2.561
```

Its uncorrected energy is -2.039 eV/atom. As for the density of states at the Fermi level: 3.98 states/eV per cell. As for the excess energy over the best structure of this formula in the dataset: 105 meV per atom. As for the symmetry: I4/mmm (139).


No. 2
TlHgSe2 | PBE | relaxed

POSCAR file:
```
TlHgSe2
1.0
2.987 0.000 0.000
0.000 2.987 0.000
0.000 0.000 11.995
Tl Hg Se
1 1 2
Cartesian
0.000 0.000 0.000
0.000 0.000 5.998
1.494 1.494 2.751
1.494 1.494 9.244
```

Its uncorrected energy is -2.299 eV/atom. As for the density of states at the Fermi level: 1.24 states/eV per cell. As for the symmetry: P4/mmm (123).


No. 3
TlHgSe2 | PBE | relaxed

POSCAR file:
```
TlHgSe2
1.0
5.806 0.000 0.000
0.000 5.806 0.000
0.000 0.000 3.119
Tl Hg Se
1 1 2
Cartesian
0.000 0.000 0.000
2.903 2.903 1.554
0.000 2.903 1.556
2.903 0.000 1.556
```

Its uncorrected energy is -2.451 eV/atom. As for the density of states at the Fermi level: 1.87 states/eV per cell. As for the symmetry: P4mm (99).


No. 4
Tl3HgSe3 | PBE | relaxed

POSCAR file:
```
Tl3HgSe3
1.0
4.688 -6.468 0.000
4.688 6.468 0.000
-0.721 0.000 7.381
Tl Hg Se
6 2 6
Cartesian
4.688 4.117 0.000
4.328 3.418 3.691
3.267 0.000 0.707
5.389 0.000 6.674
4.328 -3.418 3.691
4.688 -4.117 0.000
1.571 0.000 4.487
7.085 0.000 2.894
0.616 0.000 1.998
2.075 2.233 5.830
2.075 -2.233 5.830
6.581 2.233 1.551
6.581 -2.233 1.551
8.040 0.000 5.383
```

Its uncorrected energy is -2.783 eV/atom. As for the density of states at the Fermi level: 4.64 states/eV per cell. As for the excess energy over the best structure of this formula in the dataset: 19 meV per atom. As for the symmetry: C2/m (12).


No. 5
TlHgSe2 | PBE | relaxed

POSCAR file:
```
TlHgSe2
1.0
4.211 0.000 0.000
0.000 4.211 0.000
0.000 0.000 5.944
Tl Hg Se
1 1 2
Cartesian
0.000 0.000 0.000
2.105 2.105 0.000
0.000 2.105 2.972
2.105 0.000 2.972
```

Its uncorrected energy is -2.322 eV/atom. As for the density of states at the Fermi level: 1.61 states/eV per cell. As for the symmetry: P4/mmm (123).


No. 6
TlHg2Se2 | PBE | relaxed

POSCAR file:
```
TlHg2Se2
1.0
8.254 0.000 0.000
0.000 8.254 0.000
0.000 0.000 3.855
Tl Hg Se
2 4 4
Cartesian
0.000 0.000 0.000
4.127 4.127 0.000
1.167 2.961 1.928
2.961 7.088 1.928
5.294 1.167 1.928
7.088 5.294 1.928
1.351 5.478 0.000
2.776 1.351 0.000
5.478 6.903 0.000
6.903 2.776 0.000
```

Its uncorrected energy is -1.969 eV/atom. As for the density of states at the Fermi level: 4.48 states/eV per cell. As for the excess energy over the best structure of this formula in the dataset: 175 meV per atom. As for the symmetry: P4/mbm (127).


No. 7
TlHg2Se2 | PBE | relaxed

POSCAR file:
```
TlHg2Se2
1.0
3.641 -2.103 0.000
3.641 2.103 0.000
-2.445 0.000 8.615
Tl Hg Se
1 2 2
Cartesian
0.000 0.000 0.000
-0.014 0.000 5.228
4.851 0.000 3.387
2.421 0.000 1.834
2.417 0.000 6.781
```

Its uncorrected energy is -2.114 eV/atom. As for the density of states at the Fermi level: 1.22 states/eV per cell. As for the excess energy over the best structure of this formula in the dataset: 30 meV per atom. As for the symmetry: C2/m (12).


No. 8
Tl2HgSe | PBE | relaxed

POSCAR file:
```
Tl2HgSe
1.0
3.915 -2.261 0.000
3.915 2.261 0.000
-2.626 0.000 7.948
Tl Hg Se
2 1 1
Cartesian
1.305 0.000 1.629
3.899 0.000 6.318
-1.313 0.000 3.974
3.915 0.000 0.000
```

Its uncorrected energy is -2.398 eV/atom. As for the density of states at the Fermi level: 0.48 states/eV per cell. As for the excess energy over the best structure of this formula in the dataset: 3 meV per atom. As for the symmetry: C2/m (12).


No. 9
TlHgSe2 | PBE | relaxed

POSCAR file:
```
TlHgSe2
1.0
3.016 0.000 0.000
0.000 3.016 0.000
0.000 0.000 12.275
Tl Hg Se
1 1 2
Cartesian
0.000 0.000 0.000
1.508 1.508 3.224
0.000 0.000 6.025
1.508 1.508 9.854
```

Its uncorrected energy is -2.214 eV/atom. As for the density of states at the Fermi level: 1.72 states/eV per cell. As for the symmetry: P4mm (99).


No. 10
Tl3Hg12Se5 | PBE | relaxed

POSCAR file:
```
Tl3Hg12Se5
1.0
-8.554 8.554 8.554
8.554 -8.554 8.554
8.554 8.554 -8.554
Tl Hg Se
12 48 20
Cartesian
4.277 2.139 0.000
8.554 4.277 -2.139
2.139 0.000 4.277
10.693 0.000 4.277
0.000 4.277 2.139
4.277 -2.139 8.554
4.277 10.693 0.000
8.554 4.277 6.416
-2.139 8.554 4.277
6.416 8.554 4.277
0.000 4.277 10.693
4.277 6.416 8.554
2.570 -0.421 1.346
10.262 5.623 -4.698
8.133 -1.346 2.570
13.253 -1.707 2.932
11.124 0.421 1.346
10.262 -2.932 4.698
1.346 2.570 -0.421
11.486 3.856 -1.707
5.623 4.698 -1.707
7.209 2.570 0.421
-0.421 1.346 2.570
4.698 -1.707 5.623
8.133 7.209 -2.570
4.698 1.707 2.932
7.209 -2.570 8.133
5.623 -4.698 10.262
2.932 4.698 1.707
9.900 5.985 0.421
2.570 8.133 -1.346
10.262 2.932 3.856
4.698 10.262 -2.932
8.133 1.346 5.985
1.707 2.932 4.698
2.570 0.421 7.209
5.985 8.133 1.346
6.847 5.623 3.856
0.421 7.209 2.570
3.856 -1.707 11.486
-1.707 5.623 4.698
5.985 0.421 9.900
-1.346 2.570 8.133
5.623 3.856 6.847
2.932 13.253 -1.707
1.346 11.124 0.421
3.856 6.847 5.623
0.421 1.346 11.124
3.856 10.262 2.932
8.975 7.209 5.985
1.346 5.985 8.133
2.932 3.856 10.262
-2.932 4.698 10.262
7.209 5.985 8.975
-1.707 11.486 3.856
-2.570 8.133 7.209
-4.698 10.262 5.623
0.421 9.900 5.985
-1.707 2.932 13.253
5.985 8.975 7.209
0.000 0.000 0.000
4.277 4.277 -4.277
4.277 -4.277 4.277
8.554 0.000 0.000
12.831 2.139 0.000
8.554 -4.277 6.416
6.416 8.554 -4.277
6.416 0.000 4.277
4.277 6.416 0.000
8.554 4.277 2.139
-4.277 4.277 4.277
0.000 8.554 0.000
0.000 0.000 8.554
4.277 4.277 4.277
0.000 4.277 6.416
4.277 2.139 8.554
2.139 8.554 4.277
2.139 0.000 12.831
0.000 12.831 2.139
-4.277 6.416 8.554
```

Its uncorrected energy is -1.383 eV/atom. As for the density of states at the Fermi level: 32.17 states/eV per cell. As for the symmetry: Ia-3d (230).


No. 11
Tl2HgSe | PBE | relaxed

POSCAR file:
```
Tl2HgSe
1.0
2.796 -2.808 0.000
2.796 2.808 0.000
0.000 0.000 7.518
Tl Hg Se
2 1 1
Cartesian
0.000 0.000 0.000
2.796 0.000 2.653
2.796 0.000 5.885
0.000 0.000 4.202
```

Its uncorrected energy is -2.260 eV/atom. As for the density of states at the Fermi level: 1.21 states/eV per cell. As for the excess energy over the best structure of this formula in the dataset: 141 meV per atom. As for the symmetry: Cmm2 (35).


No. 12
Tl2HgSe | PBE | relaxed

POSCAR file:
```
Tl2HgSe
1.0
-2.379 2.379 5.127
2.379 -2.379 5.127
2.379 2.379 -5.127
Tl Hg Se
2 1 1
Cartesian
0.000 0.000 0.000
0.000 2.379 2.563
2.379 0.000 2.563
0.000 0.000 5.127
```

Its uncorrected energy is -2.263 eV/atom. As for the density of states at the Fermi level: 1.42 states/eV per cell. As for the excess energy over the best structure of this formula in the dataset: 138 meV per atom. As for the symmetry: I-4m2 (119).